YMgSc at its PBEsol-relaxed geometry, computed with SCAN.

a b c (Å): 6.8400 6.8400 6.8400
angles (deg): 150.63 150.63 42.02
With the nearest neighbours (Å) after each atom.
Sites, in units of the cell vectors:
Y: 0.0000 0.0000 0.0000  4 Sc 3.31, 4 Mg 3.31, 4 Y 3.47
Mg: 0.6744 0.6744 0.0000  4 Sc 3.12, 4 Y 3.31, 4 Mg 3.47
Sc: 0.3260 0.3260 0.0000  4 Mg 3.12, 4 Y 3.31, 4 Sc 3.47

Values from the calculation:
* energy relative to the elements: -0.046 eV/atom
* DFT total energy: -15.73 eV per atom
* energy above the most stable polymorph in this dataset: 0.000 eV per atom
* SG: I4mm
* total moment: 1.0 μB per formula unit